# Ta5ReRu4 | the Alexandria database | PBE | relaxed
data_Ta5ReRu4
_chemical_formula_sum 'Ta5 Re1 Ru4'
_symmetry_space_group_name_H-M 'P 4/m m m'
_symmetry_Int_Tables_number 123
_symmetry_space_group_name_Hall '-P 4 2'
_cell_length_a 3.2197
_cell_length_b 3.2197
_cell_length_c 15.5376
_cell_angle_alpha 90.00
_cell_angle_beta 90.00
_cell_angle_gamma 90.00
loop_
_atom_site_label
_atom_site_type_symbol
_atom_site_fract_x
_atom_site_fract_y
_atom_site_fract_z
_atom_site_occupancy
Ta1 Ta 0.0000 0.0000 0.0000 1
Ta2 Ta 0.0000 0.0000 0.1976 1
Ta3 Ta 0.0000 0.0000 0.3994 1
Re1 Re 0.5000 0.5000 0.5000 1
Ru1 Ru 0.5000 0.5000 0.0993 1
Ru2 Ru 0.5000 0.5000 0.2964 1
# DFT formation energy, eV/atom: -0.325
# Size of the total moment, μB per formula unit: 0.000
# N(E_F), states/eV/f.u.: 11.340